No. 1
The following is a DFT calculation (PBE) of an optimized crystal structure of VFe2ReH.

Output
Calculated density   11.3 g cm⁻³
ΔE to the lowest computed polymorph   0.065 eV/atom
Volume   51.4 Å³/cell

Unit cell a=3.653 b=3.653 c=3.854 alpha=90.00 beta=90.00 gamma=90.00
Sites, in units of the cell vectors:
Fe 0.500 0.000 0.000
Fe 0.000 0.500 0.000
H 0.000 0.000 0.000
V 0.500 0.500 0.500
Re 0.000 0.000 0.500

=====

No. 2
The following is a DFT calculation (PBE) of an optimized crystal structure of V2FeReH.

Output
Calculated density   10.6 g cm⁻³
E_tot   -8.62 eV/atom
Volume   54.2 Å³/cell

Unit cell a=4.097 b=4.097 c=3.226 alpha=90.00 beta=90.00 gamma=90.00
Sites, in units of the cell vectors:
Re 0.500 0.500 0.500
V 0.500 0.000 0.000
V 0.000 0.500 0.000
H 0.000 0.000 0.000
Fe 0.000 0.000 0.500

=====

No. 3
The following is a DFT calculation (PBE) of an optimized crystal structure of VFe2ReH.

Output
Calculated density   11.5 g cm⁻³
ΔE to the lowest computed polymorph   0.000 eV/atom
Volume   50.5 Å³/cell

Unit cell a=3.655 b=3.655 c=3.784 alpha=90.00 beta=90.00 gamma=90.00
Sites, in units of the cell vectors:
Fe 0.000 0.500 0.000
Fe 0.500 0.000 0.000
V 0.000 0.000 0.500
H 0.000 0.000 0.000
Re 0.500 0.500 0.500

=====

No. 4
The following is a DFT calculation (PBE) of an optimized crystal structure of YFeRe2H.

Output
Calculated density   11.3 g cm⁻³
E_tot   -7.70 eV/atom
Volume   76.5 Å³/cell

Unit cell a=4.697 b=3.466 c=4.697 alpha=90.00 beta=90.00 gamma=90.00
Sites, in units of the cell vectors:
Y 0.500 0.500 0.500
H 0.000 0.500 0.000
Re 0.500 0.000 0.000
Re 0.000 0.000 0.500
Fe 0.000 0.000 0.000

=====

No. 5
The following is a DFT calculation (PBE) of an optimized crystal structure of ZnFeRe2H.

Output
Calculated density   13.0 g cm⁻³
E_tot   -6.58 eV/atom
Volume   63.1 Å³/cell

Unit cell a=4.699 b=2.857 c=4.699 alpha=90.00 beta=90.00 gamma=90.00
Sites, in units of the cell vectors:
Fe 0.000 0.000 0.000
Zn 0.500 0.500 0.500
Re 0.000 0.000 0.500
Re 0.500 0.000 0.000
H 0.000 0.500 0.000

=====

No. 6
The following is a DFT calculation (PBE) of an optimized crystal structure of FeHRh3.

Output
Calculated density   11.0 g cm⁻³
ΔE to the lowest computed polymorph   0.131 eV/atom
Volume   110.6 Å³/cell

Unit cell a=4.673 b=4.661 c=5.389 alpha=89.89 beta=106.86 gamma=99.68
Sites, in units of the cell vectors:
Rh 0.713 0.046 0.563
Rh 0.202 0.807 0.170
Rh 0.212 0.801 0.685
Rh 0.699 0.546 0.804
Rh 0.200 0.298 0.432
Rh 0.701 0.556 0.297
Fe 0.699 0.043 0.041
Fe 0.201 0.295 0.913
H 0.457 0.180 0.193
H 0.959 0.374 0.092

=====

No. 7
The following is a DFT calculation (PBE) of an optimized crystal structure of Fe2HRh.

Output
Calculated density   8.4 g cm⁻³
ΔE to the lowest computed polymorph   0.857 eV/atom
Volume   42.5 Å³/cell

Unit cell a=3.918 b=3.918 c=3.918 alpha=60.00 beta=60.00 gamma=60.00
Sites, in units of the cell vectors:
Rh 0.500 0.500 0.500
Fe 0.750 0.750 0.750
Fe 0.250 0.250 0.250
H 0.000 0.000 0.000

=====

No. 8
The following is a DFT calculation (PBE) of an optimized crystal structure of FeHRh.

Output
Calculated density   8.5 g cm⁻³
E_tot   -6.22 eV/atom
Volume   125.3 Å³/cell

Unit cell a=5.285 b=2.705 c=8.761 alpha=90.00 beta=90.00 gamma=90.00
Sites, in units of the cell vectors:
Rh 0.117 0.750 0.884
Rh 0.617 0.750 0.616
Rh 0.383 0.250 0.384
Rh 0.883 0.250 0.116
Fe 0.133 0.750 0.590
Fe 0.633 0.750 0.910
Fe 0.367 0.250 0.090
Fe 0.867 0.250 0.410
H 0.377 0.750 0.244
H 0.623 0.250 0.756
H 0.877 0.750 0.256
H 0.123 0.250 0.744

=====

No. 9
The following is a DFT calculation (PBE) of an optimized crystal structure of FeHRh3.

Output
Calculated density   6.9 g cm⁻³
ΔE to the lowest computed polymorph   1.708 eV/atom
Volume   88.5 Å³/cell

Unit cell a=4.457 b=4.457 c=4.457 alpha=90.00 beta=90.00 gamma=90.00
Sites, in units of the cell vectors:
Fe 0.000 0.000 0.000
Rh 0.000 0.000 0.500
Rh 0.500 0.000 0.000
Rh 0.000 0.500 0.000
H 0.500 0.500 0.500

=====

No. 10
The following is a DFT calculation (PBE) of an optimized crystal structure of Fe2HRh.

Output
Calculated density   9.0 g cm⁻³
ΔE to the lowest computed polymorph   0.008 eV/atom
Volume   39.9 Å³/cell

Unit cell a=2.667 b=2.667 c=6.653 alpha=78.42 beta=78.42 gamma=60.02
Sites, in units of the cell vectors:
Rh 0.500 0.500 0.502
Fe 0.056 0.056 0.832
Fe 0.275 0.275 0.174
H 0.669 0.669 0.992

=====

No. 11
The following is a DFT calculation (PBE) of an optimized crystal structure of Fe2HRh.

Output
Calculated density   9.2 g cm⁻³
ΔE to the lowest computed polymorph   0.344 eV/atom
Volume   77.5 Å³/cell

Unit cell a=5.586 b=5.586 c=4.666 alpha=53.23 beta=53.23 gamma=90.00
Sites, in units of the cell vectors:
Rh 0.750 0.250 0.500
Rh 0.000 0.000 0.000
H 0.250 0.750 0.500
H 0.500 0.500 0.000
Fe 0.375 0.488 0.750
Fe 0.875 0.762 0.750
Fe 0.238 0.625 0.250
Fe 0.512 0.125 0.250

=====

No. 12
The following is a DFT calculation (PBE) of an optimized crystal structure of FeHRh3.

Output
Calculated density   7.5 g cm⁻³
ΔE to the lowest computed polymorph   0.728 eV/atom
Volume   81.3 Å³/cell

Unit cell a=3.802 b=3.802 c=5.627 alpha=90.00 beta=90.00 gamma=90.00
Sites, in units of the cell vectors:
Rh 0.000 0.500 0.443
Rh 0.000 0.000 0.765
Rh 0.500 0.000 0.443
H 0.500 0.500 0.452
Fe 0.000 0.000 0.161

=====

No. 13
The following is a DFT calculation (PBE) of an optimized crystal structure of FeHRh3.

Output
Calculated density   10.0 g cm⁻³
ΔE to the lowest computed polymorph   0.242 eV/atom
Volume   121.2 Å³/cell

Unit cell a=13.975 b=6.872 c=6.872 alpha=157.21 beta=149.68 gamma=30.32
Sites, in units of the cell vectors:
H 0.432 0.974 0.026
H 0.568 0.026 0.974
Rh 0.832 0.872 0.128
Rh 0.712 0.318 0.682
Rh 0.447 0.718 0.282
Rh 0.288 0.682 0.318
Rh 0.168 0.128 0.872
Rh 0.553 0.282 0.718
Fe 0.074 0.029 0.971
Fe 0.926 0.971 0.029

=====

No. 14
The following is a DFT calculation (PBE) of an optimized crystal structure of FeHRh.

Output
Calculated density   9.2 g cm⁻³
E_tot   -6.39 eV/atom
Volume   57.6 Å³/cell

Unit cell a=2.745 b=4.747 c=4.685 alpha=109.44 beta=90.00 gamma=90.00
Sites, in units of the cell vectors:
H 0.437 0.926 0.513
H 0.937 0.926 0.020
Fe 0.438 0.666 0.762
Fe 0.938 0.185 0.771
Rh 0.937 0.668 0.263
Rh 0.437 0.184 0.270

=====

No. 15
The following is a DFT calculation (PBE) of an optimized crystal structure of FeH3Rh2.

Output
Calculated density   8.6 g cm⁻³
E_tot   -5.51 eV/atom
Volume   51.3 Å³/cell

Unit cell a=3.999 b=2.880 c=5.098 alpha=106.57 beta=113.21 gamma=89.61
Sites, in units of the cell vectors:
H 0.068 0.938 0.874
H 0.720 0.609 0.218
H 0.376 0.265 0.530
Fe 0.321 0.435 0.874
Rh 0.651 0.774 0.556
Rh 0.969 0.093 0.192

=====

No. 16
The following is a DFT calculation (PBE) of an optimized crystal structure of FeHRh.

Output
Calculated density   9.2 g cm⁻³
E_tot   -6.41 eV/atom
Volume   57.4 Å³/cell

Unit cell a=4.608 b=4.915 c=2.818 alpha=73.31 beta=90.03 gamma=109.32
Sites, in units of the cell vectors:
H 0.538 0.530 0.245
H 0.001 0.556 0.731
Fe 0.108 0.317 0.351
Fe 0.431 0.769 0.625
Rh 0.590 0.258 0.881
Rh 0.949 0.827 0.095

=====

No. 17
The following is a DFT calculation (PBE) of an optimized crystal structure of FeHRh.

Output
Calculated density   9.1 g cm⁻³
E_tot   -6.34 eV/atom
Volume   117.2 Å³/cell

Unit cell a=4.442 b=5.536 c=5.593 alpha=58.42 beta=90.00 gamma=90.00
Sites, in units of the cell vectors:
Rh 0.747 0.839 0.089
Rh 0.247 0.661 0.411
Rh 0.253 0.161 0.911
Rh 0.753 0.339 0.589
Fe 0.260 0.671 0.941
Fe 0.240 0.171 0.441
Fe 0.740 0.329 0.059
Fe 0.760 0.829 0.559
H 0.134 0.321 0.095
H 0.866 0.679 0.905
H 0.634 0.179 0.405
H 0.366 0.821 0.595

=====

No. 18
The following is a DFT calculation (PBE) of an optimized crystal structure of FeHRh.

Output
Calculated density   8.3 g cm⁻³
E_tot   -5.99 eV/atom
Volume   32.0 Å³/cell

Unit cell a=3.565 b=3.565 c=3.565 alpha=60.00 beta=60.00 gamma=60.00
Sites, in units of the cell vectors:
Fe 0.500 0.500 0.500
Rh 0.000 0.000 0.000
H 0.250 0.250 0.250

=====

No. 19
The following is a DFT calculation (PBE) of an optimized crystal structure of FeHRh3.

Output
Calculated density   10.4 g cm⁻³
ΔE to the lowest computed polymorph   0.279 eV/atom
Volume   116.7 Å³/cell

Unit cell a=16.343 b=7.143 c=7.143 alpha=146.23 beta=157.83 gamma=22.17
Sites, in units of the cell vectors:
Rh 0.471 0.344 0.656
Rh 0.812 0.145 0.855
Rh 0.824 0.501 0.499
Rh 0.529 0.656 0.344
Rh 0.176 0.499 0.501
Rh 0.188 0.855 0.145
Fe 0.798 0.786 0.214
Fe 0.202 0.214 0.786
H 0.873 0.944 0.056
H 0.127 0.056 0.944

=====

No. 20
The following is a DFT calculation (PBE) of an optimized crystal structure of Fe2H3Rh2.

Output
Calculated density   9.0 g cm⁻³
E_tot   -5.97 eV/atom
Volume   118.8 Å³/cell

Unit cell a=5.278 b=5.267 c=4.775 alpha=90.00 beta=90.00 gamma=116.50
Sites, in units of the cell vectors:
Rh 0.120 0.856 0.837
Rh 0.880 0.144 0.163
Rh 0.620 0.856 0.663
Rh 0.380 0.144 0.337
H 0.000 0.000 0.500
H 0.261 0.728 0.501
H 0.239 0.272 0.001
H 0.739 0.272 0.499
H 0.761 0.728 0.999
H 0.500 0.000 0.000
Fe 0.383 0.627 0.165
Fe 0.883 0.627 0.335
Fe 0.617 0.373 0.835
Fe 0.117 0.373 0.665

=====

No. 21
The following is a DFT calculation (PBE) of an optimized crystal structure of Fe3H9Rh4.

Output
Calculated density   8.0 g cm⁻³
E_tot   -5.26 eV/atom
Volume   122.4 Å³/cell

Unit cell a=3.820 b=4.766 c=7.603 alpha=82.98 beta=75.75 gamma=65.83
Sites, in units of the cell vectors:
H 0.797 0.906 0.043
H 0.511 0.994 0.307
H 0.254 0.531 0.950
H 0.631 0.250 0.476
H 0.770 0.347 0.150
H 0.017 0.580 0.359
H 0.267 0.842 0.154
H 0.913 0.412 0.718
H 0.566 0.993 0.802
Rh 0.495 0.620 0.338
Rh 0.710 0.599 0.944
Rh 0.127 0.213 0.494
Rh 0.343 0.182 0.106
Fe 0.063 0.007 0.831
Fe 0.424 0.391 0.718
Fe 0.788 0.808 0.588

=====

No. 22
The following is a DFT calculation (PBE) of an optimized crystal structure of FeH4Rh2.

Output
Calculated density   7.3 g cm⁻³
E_tot   -5.16 eV/atom
Volume   120.6 Å³/cell

Unit cell a=5.560 b=5.560 c=5.577 alpha=120.04 beta=120.05 gamma=91.04
Sites, in units of the cell vectors:
Rh 0.367 0.632 0.711
Rh 0.866 0.639 0.217
Rh 0.368 0.633 0.217
Rh 0.361 0.134 0.712
Fe 0.886 0.115 0.757
Fe 0.885 0.114 0.172
H 0.602 0.400 0.746
H 0.600 0.398 0.183
H 0.177 0.366 0.237
H 0.139 0.864 0.233
H 0.582 0.851 0.179
H 0.136 0.861 0.695
H 0.633 0.823 0.692
H 0.149 0.418 0.749

=====

No. 23
The following is a DFT calculation (PBE) of an optimized crystal structure of FeHRh3.

Output
Calculated density   10.9 g cm⁻³
ΔE to the lowest computed polymorph   0.155 eV/atom
Volume   111.1 Å³/cell

Unit cell a=4.676 b=5.405 c=4.664 alpha=90.07 beta=70.47 gamma=89.88
Sites, in units of the cell vectors:
Rh 0.328 0.141 0.294
Rh 0.326 0.387 0.795
Rh 0.328 0.650 0.296
Rh 0.826 0.655 0.796
Rh 0.830 0.393 0.299
Rh 0.828 0.902 0.295
Fe 0.334 0.902 0.801
Fe 0.826 0.141 0.795
H 0.602 0.381 0.023
H 0.089 0.913 0.594

=====

No. 24
The following is a DFT calculation (PBE) of an optimized crystal structure of Fe4H5Rh.

Output
Calculated density   7.8 g cm⁻³
E_tot   -5.80 eV/atom
Volume   70.8 Å³/cell

Unit cell a=3.831 b=4.705 c=4.705 alpha=80.46 beta=65.98 gamma=65.98
Sites, in units of the cell vectors:
Fe 0.404 0.401 0.792
Fe 0.197 0.208 0.401
Fe 0.805 0.792 0.599
Fe 0.598 0.599 0.208
H 0.501 0.000 0.000
H 0.103 0.590 0.206
H 0.899 0.410 0.794
H 0.693 0.206 0.410
H 0.309 0.794 0.590
Rh 0.001 0.000 0.000